Record 1
This record from the Alexandria database describes an optimized crystal structure of Ac2PmSb. The functional is PBE.

a b c (Å): 5.8805 5.8805 5.8805
angles (deg): 60.00 60.00 60.00
Closest atoms and distances in Å follow each position.
Sites, in units of the cell vectors:
Sb 0.5000 0.5000 0.5000  8 Ac 3.60
Ac 0.2500 0.2500 0.2500  4 Sb 3.60, 4 Pm 3.60
Ac 0.7500 0.7500 0.7500  4 Sb 3.60, 4 Pm 3.60
Pm 0.0000 0.0000 0.0000  8 Ac 3.60

Computed properties:
Symmetry   Fm-3m (225)
VASP energy   -4.484 eV/atom
ρ   8.3 g/cm³
ΔE_f (raw)   -212 meV per atom

Record 2
This record from the Alexandria database describes an optimized crystal structure of Cd3Pt2. The functional is PBE.

a b c (Å): 4.6161 4.6161 5.5487
angles (deg): 90.00 90.00 120.00
Closest atoms and distances in Å follow each position.
Sites, in units of the cell vectors:
Cd 0.0000 0.0000 0.0000  6 Pt 2.78
Cd 0.6667 0.3333 0.6403  5 Pt 2.75-2.92
Cd 0.3333 0.6667 0.3597  5 Pt 2.75-2.92
Pt 0.6667 0.3333 0.1444  8 Cd 2.75-2.92
Pt 0.3333 0.6667 0.8556  8 Cd 2.75-2.92

Computed properties:
Energy relative to the elements   -1.35 eV/f.u.
Symmetry   P-3m1 (164)
VASP energy   -3.235 eV/atom
ρ   11.8 g/cm³

no.,excess energy over the best structure of this formula in the dataset (kcal/mol of atoms)
1,5.76
2,0.69